1.
Zr4TlPt | PBE | optimized geometry

DOS at the Fermi energy = 0.879 states/eV per atom
Total magnetization = 0.00 μB/cell
Symmetry = No. 216
VASP energy = -6.949 eV per atom
Formation energy = 87 kJ/mol of formula units

Cell: 5.684 5.684 5.684 Å, 60.00 60.00 60.00°
Fractional coordinates of all 6 atoms:
Tl1 0.000 0.000 0.000
Zr1 0.375 0.874 0.375
Zr2 0.375 0.375 0.375
Zr3 0.874 0.375 0.375
Zr4 0.375 0.375 0.874
Pt1 0.750 0.750 0.750

2.
Ba2ScNi | PBE | optimized geometry

DOS at the Fermi energy = 1.517 states/eV per atom
Total magnetization = 0.00 μB/cell
Symmetry = No. 123
Distance to the lowest polymorph of the same formula = 1.65 eV per formula unit
VASP energy = -3.490 eV per atom
Formation energy = 193 kJ/mol of formula units

Cell: 5.620 5.624 4.149 Å, 90.00 90.00 90.00°
Fractional coordinates of all 4 atoms:
Ba1 0.500 0.500 0.000
Ba2 0.000 0.000 0.000
Sc1 0.000 0.500 0.500
Ni1 0.500 0.000 0.500

3.
Tb2YSc7 | PBE | optimized geometry

DOS at the Fermi energy = 1.543 states/eV per atom
Total magnetization = 0.01 μB/cell
Symmetry = No. 65
Distance to the lowest polymorph of the same formula = 0.00 eV per formula unit
VASP energy = -5.854 eV per atom
Formation energy = 146 kJ/mol of formula units

Cell: 3.331 13.902 13.902 Å, 154.86 90.00 90.00°
Fractional coordinates of all 10 atoms:
Tb1 0.500 0.289 0.711
Tb2 0.500 0.711 0.289
Sc1 0.000 0.818 0.182
Sc2 0.500 0.655 0.852
Sc3 0.500 0.500 0.500
Sc4 0.500 0.148 0.345
Sc5 0.500 0.345 0.148
Sc6 0.500 0.852 0.655
Sc7 0.000 0.182 0.818
Y1 0.000 0.000 0.000

4.
BaYW2 | PBE | optimized geometry

DOS at the Fermi energy = 1.317 states/eV per atom
Total magnetization = 0.00 μB/cell
Symmetry = No. 47
Distance to the lowest polymorph of the same formula = 3.27 eV per formula unit
VASP energy = -7.199 eV per atom
Formation energy = 531 kJ/mol of formula units

Cell: 3.441 4.822 5.402 Å, 90.00 90.00 90.00°
Fractional coordinates of all 4 atoms:
W1 0.500 0.500 0.000
W2 0.000 0.000 0.000
Ba1 0.000 0.500 0.500
Y1 0.500 0.000 0.500

5.
Tb2FeHgC | PBE | optimized geometry

DOS at the Fermi energy = 0.571 states/eV per atom
Total magnetization = 0.13 μB/cell
Symmetry = No. 123
VASP energy = -5.811 eV per atom
Formation energy = -174 kJ/mol of formula units

Cell: 3.713 5.073 5.073 Å, 90.00 90.00 90.00°
Fractional coordinates of all 5 atoms:
Tb1 0.000 0.500 0.000
Tb2 0.000 0.000 0.500
C1 0.000 0.000 0.000
Fe1 0.500 0.000 0.000
Hg1 0.500 0.500 0.500

6.
La3ZrBr | PBE | optimized geometry

DOS at the Fermi energy = 1.433 states/eV per atom
Formation energy without anion corrections = -0.2 eV per formula unit
Total magnetization = 0.00 μB/cell
Symmetry = No. 221
Distance to the lowest polymorph of the same formula = 0.00 eV per formula unit
VASP energy = -5.034 eV per atom

Cell: 5.630 5.630 5.630 Å, 90.00 90.00 90.00°
Fractional coordinates of all 5 atoms:
La1 0.000 0.000 0.500
La2 0.000 0.500 0.000
La3 0.500 0.000 0.000
Br1 0.000 0.000 0.000
Zr1 0.500 0.500 0.500

7.
Tc2HgSb | PBE | optimized geometry

DOS at the Fermi energy = 1.064 states/eV per atom
Formation energy without anion corrections = 2.1 eV per formula unit
Total magnetization = 0.00 μB/cell
Symmetry = No. 12
Distance to the lowest polymorph of the same formula = 1.33 eV per formula unit
VASP energy = -5.776 eV per atom

Cell: 4.589 4.589 5.537 Å, 78.54 78.54 39.96°
Fractional coordinates of all 4 atoms:
Hg1 0.750 0.750 0.750
Tc1 0.507 0.507 0.467
Tc2 0.993 0.993 0.033
Sb1 0.250 0.250 0.250

8.
Sc2TlTe | PBE | optimized geometry

DOS at the Fermi energy = 0.988 states/eV per atom
Formation energy without anion corrections = -2.1 eV per formula unit
Total magnetization = 0.00 μB/cell
Symmetry = No. 10
Distance to the lowest polymorph of the same formula = 0.52 eV per formula unit
VASP energy = -5.062 eV per atom

Cell: 3.736 3.665 7.516 Å, 69.25 90.00 90.00°
Fractional coordinates of all 4 atoms:
Sc1 0.000 0.484 0.492
Sc2 0.000 0.016 0.008
Te1 0.500 0.250 0.250
Tl1 0.500 0.750 0.750